Compound: Cu2NiMo
Source: Alexandria
Functional: PBE
Structure: optimized geometry

Results
E_form: 0.230 eV per atom
V: 51 Å³/f.u.
energy above the lowest structure with this stoichiometry: 167 meV per atom
crystal system: orthorhombic
total energy: -23.88 eV for the cell shown

Cell: 5.150 5.150 5.150 Å, 150.71 129.27 59.66°
Element x y z (fractional)
Cu 0.236 0.236 0.000
Cu 0.764 0.764 0.000
Ni 0.000 0.500 0.500
Mo 0.500 0.000 0.500

---

Compound: Cu2Ni6Mo
Source: Alexandria
Functional: PBE
Structure: optimized geometry

Results
E_form: 0.070 eV per atom
V: 106 Å³/f.u.
crystal system: hexagonal
total energy: -53.08 eV for the cell shown

Cell: 6.983 6.983 2.520 Å, 90.00 90.00 120.00°
Element x y z (fractional)
Cu 0.333 0.667 0.000
Cu 0.667 0.333 0.000
Ni 0.000 0.313 0.000
Ni 0.000 0.646 0.500
Ni 0.313 0.000 0.000
Ni 0.354 0.354 0.500
Ni 0.646 0.000 0.500
Ni 0.687 0.687 0.000
Mo 0.000 0.000 0.500

---

Question: Among the records above, which one has the highest E_form?
Answer: Cu2NiMo